[1]
A plane-wave DFT calculation with PBE was carried out for a relaxed Ho6Tm12Sc crystal.

The distance to the lowest polymorph of the same formula comes out at 46 meV per atom.

Lattice parameters (Å, degrees): 8.520 8.520 8.520 98.36 98.36 98.36
Sites, in units of the cell vectors:
Ho 0.903 0.338 0.903
Ho 0.903 0.903 0.338
Ho 0.338 0.903 0.903
Ho 0.097 0.097 0.662
Ho 0.097 0.662 0.097
Ho 0.662 0.097 0.097
Tm 0.757 0.243 0.500
Tm 0.354 0.083 0.354
Tm 0.354 0.354 0.083
Tm 0.917 0.646 0.646
Tm 0.646 0.646 0.917
Tm 0.646 0.917 0.646
Tm 0.500 0.757 0.243
Tm 0.243 0.500 0.757
Tm 0.243 0.757 0.500
Tm 0.500 0.243 0.757
Tm 0.757 0.500 0.243
Tm 0.083 0.354 0.354
Sc 0.000 0.000 0.000

[2]
A plane-wave DFT calculation with PBE was carried out for a relaxed Ca2Pm3Pr2 crystal.

Lattice parameters (Å, degrees): 5.320 6.424 9.710 57.35 74.10 65.54
Sites, in units of the cell vectors:
Ca 0.069 0.576 0.286
Ca 0.931 0.424 0.714
Pm 0.500 0.000 0.000
Pm 0.350 0.874 0.425
Pm 0.650 0.126 0.575
Pr 0.218 0.709 0.856
Pr 0.782 0.291 0.144

[3]
A plane-wave DFT calculation with PBE was carried out for a relaxed Fe2RuRh crystal.

Lattice parameters (Å, degrees): 2.628 2.628 8.574 90.00 90.00 115.76
Sites, in units of the cell vectors:
Fe 0.000 0.000 0.008
Fe 0.500 0.500 0.240
Rh 0.000 0.000 0.490
Ru 0.500 0.500 0.762

[4]
A plane-wave DFT calculation with PBE was carried out for a relaxed U2CoNi12P3 crystal.

Lattice parameters (Å, degrees): 6.222 6.222 6.222 82.70 82.70 82.70
Sites, in units of the cell vectors:
U 0.601 0.601 0.601
U 0.399 0.399 0.399
Co 0.000 0.000 0.000
Ni 0.363 0.363 0.929
Ni 0.817 0.817 0.329
Ni 0.329 0.817 0.817
Ni 0.929 0.363 0.363
Ni 0.817 0.329 0.817
Ni 0.363 0.929 0.363
Ni 0.637 0.637 0.071
Ni 0.183 0.183 0.671
Ni 0.671 0.183 0.183
Ni 0.071 0.637 0.637
Ni 0.183 0.671 0.183
Ni 0.637 0.071 0.637
P 0.500 0.000 0.000
P 0.000 0.500 0.000
P 0.000 0.000 0.500

| no. | final energy (eV/cell) | energy relative to the elements (eV/atom) |
| --- | --- | --- |
| 1 | -83.18 | 0.225 |
| 2 | -27.25 | 0.080 |
| 3 | -32.77 | 0.196 |
| 4 | -115.91 | -0.034 |